Ta3Se5 | PBE-GGA | optimized geometry

```
16
Lattice="-4.162 3.004 5.770 6.986 -2.969 1.417 2.502 5.407 -1.010" Properties=species:S:1:pos:R:3 pbc="T T T"
Se 3.270 -0.978 2.868
Se 0.805 3.716 3.814
Se -0.446 1.013 4.319
Se 4.521 1.725 2.363
Se -0.449 2.127 1.237
Se -1.211 6.283 3.523
Se 2.429 0.585 0.113
Se 2.721 1.377 5.080
Se 2.606 4.064 1.098
Se 7.060 1.852 0.294
Ta -1.835 3.128 3.159
Ta 0.176 5.283 1.601
Ta 4.756 -0.404 0.586
Ta 1.780 1.366 2.685
Ta 3.547 4.075 3.492
Ta 4.732 2.841 -0.178
```

Output
D(E_F), states/eV/f.u.: 9.29
Formation energy (no corrections), eV/atom: -0.11
E above lowest polymorph, eV/atom: 0.334

=====

TaSe4 | PBE-GGA | optimized geometry

```
5
Lattice="-3.094 3.094 3.094 3.094 -3.094 3.094 3.094 3.094 -3.094" Properties=species:S:1:pos:R:3 pbc="T T T"
Ta 0.000 0.000 0.000
Se -1.547 1.547 1.547
Se 1.547 1.547 1.547
Se 1.547 -1.547 1.547
Se 1.547 1.547 -1.547
```

Output
D(E_F), states/eV/f.u.: 1.81
Formation energy (no corrections), eV/atom: 0.14

=====

Please write out number 2 again, unchanged.
TaSe4 | PBE-GGA | optimized geometry

```
5
Lattice="-3.094 3.094 3.094 3.094 -3.094 3.094 3.094 3.094 -3.094" Properties=species:S:1:pos:R:3 pbc="T T T"
Ta 0.000 0.000 0.000
Se -1.547 1.547 1.547
Se 1.547 1.547 1.547
Se 1.547 -1.547 1.547
Se 1.547 1.547 -1.547
```

Output
D(E_F), states/eV/f.u.: 1.81
Formation energy (no corrections), eV/atom: 0.14

=====

Q: D(E_F) of number 2 (TaSe4)?
A: 1.81 states/eV/f.u.